A plane-wave DFT calculation with PBE-GGA was carried out for a geometry-optimized KGaSi structure.

Summary:
electronic total energy	-19.6	eV per cell
size of the total moment	0.000	Bohr magnetons per cell
Fermi-level density of states	1.2	states/eV per cell

Cell: 5.5311 4.0694 7.3623 Å, 90.00 90.00 90.00°
Sites, in units of the cell vectors:
K1 0.0000 0.2500 0.2433
K2 0.0000 0.7500 0.7567
Si1 0.4998 0.2500 0.9164
Si2 0.5002 0.7500 0.0836
Ga1 0.5002 0.2500 0.5905
Ga2 0.4998 0.7500 0.4095